(1)
DFT (meta-GGA SCAN) results for ReRhSe2 at its PBEsol-relaxed geometry.

Results
* ΔE_f (raw): 0.572 eV/atom
* spin magnetization: 0.000 μB per atom
* Fermi-level density of states: 2.6 states/eV/cell
* offset from the most stable computed form: 0.0000 eV/atom
* E: -35.685 eV/atom

Cell: 2.641 4.133 5.998 Å, 90.00 90.00 90.00°
Element x y z (fractional)
Re 0.000 0.000 0.000
Rh 0.000 0.000 0.500
Se 0.000 0.500 0.252
Se 0.000 0.500 0.748

***

(2)
DFT (meta-GGA SCAN) results for PtCN3 at its PBEsol-relaxed geometry.

Results
* ΔE_f (raw): 2.632 eV/atom
* spin magnetization: 0.000 μB per atom
* Fermi-level density of states: 1.2 states/eV/cell
* E: -19.002 eV/atom

Cell: 3.374 3.374 3.374 Å, 90.00 90.00 90.00°
Element x y z (fractional)
Pt 0.000 0.000 0.000
C 0.500 0.500 0.500
N 0.000 0.500 0.500
N 0.500 0.000 0.500
N 0.500 0.500 0.000

***

(3)
DFT (meta-GGA SCAN) results for CsBi2AsW at its PBEsol-relaxed geometry.

Results
* spin magnetization: 0.637 μB per atom
* ΔH_f (0 K): 2.9510 eV per atom
* Fermi-level density of states: 4.9 states/eV/cell
* E: -54.019 eV/atom

Cell: 5.954 5.954 5.163 Å, 90.00 90.00 90.00°
Element x y z (fractional)
Cs 0.000 0.000 0.000
Bi 0.000 0.500 0.000
Bi 0.500 0.000 0.000
As 0.500 0.500 0.500
W 0.000 0.000 0.500

***

(4)
DFT (meta-GGA SCAN) results for LiSi2Ni at its PBEsol-relaxed geometry.

Results
* ΔE_f (raw): -0.092 eV/atom
* spin magnetization: 0.000 μB per atom
* Fermi-level density of states: 1.5 states/eV/cell
* offset from the most stable computed form: 0.1778 eV/atom
* E: -9.740 eV/atom

Cell: 3.129 3.129 4.884 Å, 90.00 90.00 90.00°
Element x y z (fractional)
Li 0.000 0.000 0.000
Si 0.000 0.000 0.486
Si 0.500 0.500 0.759
Ni 0.500 0.500 0.274

***

(5)
DFT (meta-GGA SCAN) results for LiSc2P at its PBEsol-relaxed geometry.

Results
* spin magnetization: 0.000 μB per atom
* ΔH_f (0 K): -0.6367 eV per atom
* Fermi-level density of states: 3.3 states/eV/cell
* E: -10.952 eV/atom

Cell: 4.296 4.296 3.620 Å, 90.00 90.00 90.00°
Element x y z (fractional)
Li 0.000 0.000 0.000
Sc 0.000 0.500 0.500
Sc 0.500 0.000 0.500
P 0.500 0.500 0.000

***

(6)
DFT (meta-GGA SCAN) results for RbLiSiRu2 at its PBEsol-relaxed geometry.

Results
* ΔE_f (raw): 2.370 eV/atom
* spin magnetization: 0.353 μB per atom
* Fermi-level density of states: 3.7 states/eV/cell
* E: -18.190 eV/atom

Cell: 4.739 4.739 4.025 Å, 90.00 90.00 90.00°
Element x y z (fractional)
Rb 0.000 0.000 0.000
Li 0.000 0.000 0.500
Si 0.500 0.500 0.500
Ru 0.000 0.500 0.000
Ru 0.500 0.000 0.000

***

(7)
DFT (meta-GGA SCAN) results for ScPS4 at its PBEsol-relaxed geometry.

Results
* ΔE_f (raw): -1.093 eV/atom
* spin magnetization: 0.000 μB per atom
* Fermi-level density of states: 0.0 states/eV/cell
* E: -11.618 eV/atom

Cell: 6.153 6.390 6.754 Å, 86.36 87.91 81.36°
Element x y z (fractional)
Sc 0.203 0.198 0.062
Sc 0.797 0.802 0.938
P 0.314 0.763 0.812
P 0.686 0.237 0.188
S 0.084 0.026 0.747
S 0.120 0.530 0.787
S 0.402 0.784 0.100
S 0.413 0.265 0.363
S 0.587 0.735 0.637
S 0.598 0.216 0.900
S 0.880 0.470 0.213
S 0.916 0.974 0.253

***

(8)
DFT (meta-GGA SCAN) results for Lu3Co4Ge13 at its PBEsol-relaxed geometry.

Results
* spin magnetization: 0.000 μB per atom
* ΔH_f (0 K): -0.3987 eV per atom
* Fermi-level density of states: 12.5 states/eV/cell
* E: -24.568 eV/atom

Cell: 8.596 8.596 8.596 Å, 90.00 90.00 90.00°
Element x y z (fractional)
Lu 0.000 0.250 0.500
Lu 0.000 0.750 0.500
Lu 0.250 0.500 0.000
Lu 0.500 0.000 0.250
Lu 0.500 0.000 0.750
Lu 0.750 0.500 0.000
Co 0.250 0.250 0.250
Co 0.250 0.250 0.750
Co 0.250 0.750 0.250
Co 0.250 0.750 0.750
Co 0.750 0.250 0.250
Co 0.750 0.250 0.750
Co 0.750 0.750 0.250
Co 0.750 0.750 0.750
Ge 0.000 0.000 0.000
Ge 0.000 0.305 0.153
Ge 0.000 0.305 0.847
Ge 0.000 0.695 0.153
Ge 0.000 0.695 0.847
Ge 0.153 0.000 0.305
Ge 0.153 0.000 0.695
Ge 0.195 0.500 0.347
Ge 0.195 0.500 0.653
Ge 0.305 0.153 0.000
Ge 0.305 0.847 0.000
Ge 0.347 0.195 0.500
Ge 0.347 0.805 0.500
Ge 0.500 0.347 0.195
Ge 0.500 0.347 0.805
Ge 0.500 0.500 0.500
Ge 0.500 0.653 0.195
Ge 0.500 0.653 0.805
Ge 0.653 0.195 0.500
Ge 0.653 0.805 0.500
Ge 0.695 0.153 0.000
Ge 0.695 0.847 0.000
Ge 0.805 0.500 0.347
Ge 0.805 0.500 0.653
Ge 0.847 0.000 0.305
Ge 0.847 0.000 0.695